# 1
LaPrI2: optimized geometry, PBE-GGA.

```
LaPrI2
1.0
3.966 0.000 0.000
1.983 3.435 0.000
1.983 1.145 9.752
La Pr I
1 1 2
Direct
0.665 0.665 0.004
0.501 0.501 0.496
0.084 0.084 0.747
0.249 0.249 0.253
```

Output
Mass density (g cm⁻³): 6.67
Crystal system: trigonal
Energy (eV per atom): -4.1579
Raw formation energy (meV per atom): -956
Distance to the lowest polymorph of the same formula (meV/atom): 0
DOS at the Fermi energy (states/eV per atom): 0.602

=====

# 2
La2Pr2I7: optimized geometry, PBE-GGA.

```
La2Pr2I7
1.0
8.212 0.927 1.208
-0.715 8.258 -0.445
-0.715 -2.571 7.860
La Pr I
2 2 7
Direct
0.500 0.356 0.644
0.500 0.644 0.356
0.139 0.691 0.691
0.861 0.309 0.309
0.281 0.581 0.984
0.719 0.016 0.419
0.719 0.419 0.016
0.281 0.984 0.581
0.241 0.359 0.359
0.000 0.000 0.000
0.759 0.641 0.641
```

Output
Mass density (g cm⁻³): 4.47
Crystal system: monoclinic
Energy (eV per atom): -3.8431
Raw formation energy (meV per atom): -1092
DOS at the Fermi energy (states/eV per atom): 0.634

=====

# 3
LaPrI2: optimized geometry, PBE-GGA.

```
LaPrI2
1.0
3.966 0.000 0.000
1.983 3.435 0.000
1.983 1.145 11.145
Pr I La
1 2 1
Direct
0.500 0.500 0.500
0.097 0.097 0.708
0.903 0.903 0.292
0.000 0.000 0.000
```

Output
Mass density (g cm⁻³): 5.84
Crystal system: trigonal
Energy (eV per atom): -4.0138
Raw formation energy (meV per atom): -812
Distance to the lowest polymorph of the same formula (meV/atom): 144
DOS at the Fermi energy (states/eV per atom): 0.920

=====

Number 1: volume 33.21 Å³/atom. Number 2: volume 48.95 Å³/atom. Number 3: volume 37.95 Å³/atom.